Entry 1:
An optimized crystal structure of LiDy2SbO6. Source: Alexandria, functional PBE.

Properties
formation energy without anion corrections: -2623 meV per atom
total magnetic moment: 0.00 μB/f.u.
energy: -71.2 eV/cell

abc: 5.576 5.576 5.871
angles: 61.65 61.65 60.00
Positions (direct):
Li 0.792 0.792 0.625
Dy 0.531 0.531 0.407
Dy 0.027 0.027 0.920
Sb 0.321 0.321 0.037
O 0.581 0.210 0.241
O 0.210 0.967 0.241
O 0.967 0.581 0.241
O 0.433 0.681 0.768
O 0.681 0.119 0.768
O 0.119 0.433 0.768



Entry 2:
An optimized crystal structure of LiDySeO. Source: Alexandria, functional PBE.

Properties
formation energy without anion corrections: -2402 meV per atom
total magnetic moment: 0.00 μB/f.u.
energy: -49.1 eV/cell

abc: 3.915 3.915 8.951
angles: 90.00 90.00 90.00
Positions (direct):
Li 0.500 0.500 0.000
Li 0.000 0.000 0.000
Dy 0.500 0.000 0.624
Dy 0.000 0.500 0.376
Se 0.000 0.500 0.819
Se 0.500 0.000 0.181
O 0.000 0.000 0.500
O 0.500 0.500 0.500



Entry 3:
An optimized crystal structure of Li2Dy3Se3O2. Source: Alexandria, functional PBE.

Properties
formation energy without anion corrections: -2107 meV per atom
total magnetic moment: 0.00 μB/f.u.
energy: -59.1 eV/cell

abc: 4.009 4.009 12.684
angles: 99.09 99.09 90.00
Positions (direct):
Li 0.750 0.250 0.500
Li 0.250 0.750 0.500
Dy 0.863 0.863 0.726
Dy 0.500 0.500 0.000
Dy 0.137 0.137 0.274
Se 0.618 0.618 0.236
Se 0.382 0.382 0.764
Se 0.000 0.000 0.000
O 0.782 0.782 0.563
O 0.218 0.218 0.437



Entry 4:
An optimized crystal structure of LiDySeO4. Source: Alexandria, functional PBE.

Properties
formation energy without anion corrections: -1943 meV per atom
total magnetic moment: 0.00 μB/f.u.
energy: -86.9 eV/cell

abc: 7.126 6.337 6.337
angles: 65.29 55.79 55.79
Positions (direct):
Li 0.500 0.000 0.500
Li 0.000 0.000 0.500
Dy 0.000 0.000 0.000
Dy 0.000 0.500 0.500
Se 0.573 0.677 0.177
Se 0.427 0.323 0.823
O 0.707 0.742 0.844
O 0.293 0.656 0.758
O 0.707 0.344 0.242
O 0.293 0.258 0.156
O 0.184 0.770 0.270
O 0.776 0.770 0.270
O 0.224 0.230 0.730
O 0.816 0.230 0.730